This record from Alexandria describes NdTePb after structural relaxation. The functional is PBE.

extended XYZ file:
```
6
Lattice="-2.306 -4.109 -2.403 1.954 -1.833 -4.561 4.867 -7.270 1.940" Properties=species:S:1:pos:R:3 pbc="T T T"
Nd 3.485 -7.909 -1.463
Pb 2.713 -4.984 0.098
Te 0.583 -2.724 -1.723
Te 3.932 -10.488 -3.302
Pb 1.802 -8.228 -5.123
Nd 1.030 -5.304 -3.562
```

Properties
The calculated volume comes out at 34.02 Å³ per atom. The crystal system is trigonal. The calculation puts the density of states at the Fermi level at 1.7 states/eV per cell. The total energy comes out at -4.6069 eV per atom. The value obtained for the uncorrected formation energy is -2.2 eV per formula unit.

This record from Alexandria describes Cs12Se5F3 after structural relaxation. The functional is PBE.

extended XYZ file:
```
80
Lattice="17.403 0.000 0.000 -5.801 16.408 0.000 -5.801 -8.204 14.210" Properties=species:S:1:pos:R:3 pbc="T T T"
F 7.251 1.025 5.329
Se 8.702 0.000 0.000
F 13.052 0.000 3.552
Se 7.251 4.102 10.657
Se -2.901 8.204 0.000
Cs 8.316 8.956 7.947
Se 1.450 5.127 12.433
Cs -6.306 0.438 11.729
Cs 6.187 7.258 10.887
Se 1.450 -4.102 10.657
Cs -1.880 -4.151 10.427
Cs -2.396 -0.438 11.729
Cs -5.415 7.452 7.947
Se 5.801 -4.102 7.105
Cs -4.781 13.555 1.703
Cs -1.020 9.404 5.486
F -7.251 8.204 10.657
Cs 10.582 -5.351 12.506
Cs 3.405 6.275 1.619
Cs 8.572 4.113 5.401
Cs -2.515 -0.752 6.263
Se 4.351 3.076 1.776
Cs -0.386 0.946 3.323
Cs 3.030 10.836 6.244
Cs 2.515 6.507 9.585
Cs -3.286 9.150 10.887
F 1.450 8.204 3.552
Cs 6.821 -1.200 8.724
Cs -0.130 5.572 6.244
Se -2.901 -4.102 7.105
Se 7.251 -5.127 12.433
F -4.351 3.076 12.433
Cs 0.386 9.901 9.585
Cs 1.880 1.200 8.724
Se 4.351 12.306 3.552
F 1.450 -1.025 5.329
Se 10.152 -1.025 8.881
Se 2.901 4.102 7.105
Cs 5.931 2.632 7.966
Cs -6.821 4.151 10.427
Se -4.351 9.229 5.329
F 4.351 9.229 8.881
Cs -2.771 4.091 8.808
Cs 8.572 14.927 0.842
F -4.351 -3.076 12.433
Cs 11.216 0.752 6.263
Cs -1.880 5.351 12.506
Cs 3.286 1.697 4.624
Cs 11.732 1.481 0.842
Se -1.450 4.102 3.552
Cs 9.088 -0.946 3.323
Se 7.251 7.178 5.329
Cs 2.771 -2.632 7.966
F 4.351 0.000 10.657
Cs -5.671 12.295 5.401
F 10.152 11.280 1.776
Se -5.801 4.102 7.105
F 10.152 5.127 1.776
Cs 2.396 1.929 12.590
Se 0.000 0.000 0.000
Cs 12.107 7.766 2.480
Cs 12.622 4.053 3.782
Cs 3.405 10.571 0.861
Cs 11.473 -4.091 8.808
Se -1.450 13.331 1.776
Cs 6.306 2.367 13.349
Cs 3.921 7.004 5.486
Se -1.450 1.025 8.881
Cs 5.415 -1.697 4.624
Cs -0.505 10.133 1.619
Cs -5.931 6.723 13.367
F -1.450 7.178 8.881
Cs -0.505 5.837 0.861
Cs 7.681 12.355 3.782
Se 5.801 8.204 0.000
Cs 6.306 -1.929 12.590
Cs 7.681 2.853 1.703
Cs 2.396 -2.367 13.349
Cs 8.197 8.642 2.480
Cs -2.771 -6.723 13.367
```

Properties
The calculated volume comes out at 50.72 Å³ per atom. The crystal system is cubic. The calculation puts the density of states at the Fermi level at 127.0 states/eV per cell. The total energy comes out at -2.9364 eV per atom. The value obtained for the uncorrected formation energy is -25.4 eV per formula unit.

This record from Alexandria describes Tb2NpScO8 after structural relaxation. The functional is PBE.

extended XYZ file:
```
12
Lattice="5.041 -0.100 -0.003 -0.085 5.040 -0.006 0.004 0.008 6.872" Properties=species:S:1:pos:R:3 pbc="T T T"
O 0.832 4.121 5.278
O 4.129 0.831 5.280
Sc 0.002 0.004 3.436
O 0.830 4.117 1.584
O 1.454 1.446 3.434
O 4.127 0.827 1.586
O 1.424 1.413 6.870
O 3.505 3.501 3.430
Tb 2.479 2.472 1.797
O 3.536 3.535 -0.006
Tb 2.481 2.476 5.067
Np 0.000 0.000 0.000
```

Properties
The calculated volume comes out at 14.54 Å³ per atom. The crystal system is monoclinic. The total energy comes out at -8.8288 eV per atom. The value obtained for the uncorrected formation energy is -37.7 eV per formula unit.

This record from Alexandria describes CaPm2H after structural relaxation. The functional is PBE.

extended XYZ file:
```
4
Lattice="-1.660 -0.354 -3.238 -0.229 -3.286 -1.588 -9.094 -2.804 2.905" Properties=species:S:1:pos:R:3 pbc="T T T"
H -5.492 -3.222 -0.960
Pm -6.076 -2.237 1.296
Ca 0.000 0.000 0.000
Pm -4.907 -4.206 -3.217
```

Properties
The calculated volume comes out at 28.14 Å³ per atom. The crystal system is trigonal. The calculation puts the density of states at the Fermi level at 4.7 states/eV per cell. The total energy comes out at -3.7491 eV per atom.